Entry from the Alexandria database: a geometry-optimized NbAlCrTe2 structure (PBE).

a b c (Å): 5.4021 5.4021 5.0743
angles (deg): 90.00 90.00 90.00
Closest atoms and distances in Å follow each position.
Space group P4/mmm (No. 123)
Asymmetric unit:
Nb  0.0000  0.0000  0.0000 [1 per cell]  2 Al 2.54, 4 Te 2.70
Al  0.0000  0.0000  0.5000 [1 per cell]  2 Nb 2.54
Cr  0.5000  0.5000  0.5000 [1 per cell]  8 Te 3.71, 4 Al 3.82
Te  0.0000  0.5000  0.0000 [2 per cell]  2 Nb 2.70

Properties
electronic total energy	-26.45	eV for the cell shown
E_form (uncorrected)	0.655	eV/atom
total magnetization	5.23	μB/f.u.

=====

Entry from the Alexandria database: a geometry-optimized Ag2O2F3 structure (PBE).

a b c (Å): 3.7491 5.5620 5.6697
angles (deg): 87.41 77.42 81.55
Closest atoms and distances in Å follow each position.
Space group P-1 (No. 2)
Asymmetric unit:
Ag  0.1352  0.2320  0.1296 [2 per cell]  3 F 2.17-2.22, 1 O 2.18
O  0.0914  0.5735  0.5331 [2 per cell]  1 O 1.26
F  0.2808  0.0134  0.7948 [2 per cell]  2 Ag 2.18-2.22
F  0.5000  0.5000  0.0000 [1 per cell]  2 Ag 2.17

Properties
electronic total energy	-26.36	eV for the cell shown
E_form (uncorrected)	-0.733	eV/atom
total magnetization	1.05	μB/f.u.

=====

Entry from the Alexandria database: a geometry-optimized Ba2AlAu structure (PBE).

a b c (Å): 4.4254 5.3342 6.9050
angles (deg): 90.00 90.00 90.00
Closest atoms and distances in Å follow each position.
Space group Pmm2 (No. 25)
Asymmetric unit:
Ba  0.0000  0.0000  0.0000 [1 per cell]  2 Au 3.45, 4 Al 3.47
Ba  0.5000  0.5000  0.4981 [1 per cell]  2 Al 3.45, 4 Au 3.47
Al  0.5000  0.5000  0.9979 [1 per cell]  6 Ba 3.45-3.47
Au  0.0000  0.0000  0.4997 [1 per cell]  6 Ba 3.45-3.47

Properties
electronic total energy	-11.57	eV for the cell shown
total magnetization	0.21	μB/f.u.

=====

Entry from the Alexandria database: a geometry-optimized Sr2Cu3NiGe4 structure (PBE).

a b c (Å): 4.2924 4.2924 10.1417
angles (deg): 90.00 90.00 90.00
Closest atoms and distances in Å follow each position.
Space group P-4m2 (No. 115)
Asymmetric unit:
Sr  0.0000  0.5000  0.2451 [2 per cell]  6 Cu 3.28, 2 Ni 3.28, 8 Ge 3.30-3.36
Cu  0.0000  0.0000  0.0000 [1 per cell]  4 Ge 2.46
Cu  0.0000  0.5000  0.6324 [2 per cell]  5 Ge 2.53
Ni  0.5000  0.5000  0.0000 [1 per cell]  4 Ge 2.46
Ge  0.0000  0.0000  0.5000 [1 per cell]  4 Cu 2.53
Ge  0.0000  0.5000  0.8822 [2 per cell]  2 Ni 2.46, 3 Cu 2.46-2.53
Ge  0.5000  0.5000  0.5000 [1 per cell]  4 Cu 2.53

Properties
electronic total energy	-43.60	eV for the cell shown
total magnetization	0.00	μB/f.u.

=====

Entry from the Alexandria database: a geometry-optimized ErHfPa structure (PBE).

a b c (Å): 5.2076 5.2076 3.2773
angles (deg): 90.00 90.00 120.00
Closest atoms and distances in Å follow each position.
Space group P-6m2 (No. 187)
Asymmetric unit:
Er  0.0000  0.0000  0.0000 [1 per cell]  2 Er 3.28, 6 Hf 3.42, 6 Pa 3.42
Hf  0.3333  0.6667  0.5000 [1 per cell]  3 Pa 3.01, 2 Hf 3.28
Pa  0.6667  0.3333  0.5000 [1 per cell]  3 Hf 3.01, 2 Pa 3.28

Properties
electronic total energy	-23.35	eV for the cell shown
total magnetization	0.00	μB/f.u.

=====

Entry from the Alexandria database: a geometry-optimized SnSbMoN2 structure (PBE).

a b c (Å): 4.0324 4.0324 5.7089
angles (deg): 90.00 90.00 90.00
Closest atoms and distances in Å follow each position.
Space group P4/mmm (No. 123)
Asymmetric unit:
Sn  0.0000  0.0000  0.0000 [1 per cell]  4 Sb 2.85, 2 Mo 2.85
Sb  0.5000  0.5000  0.0000 [1 per cell]  4 Sn 2.85
Mo  0.0000  0.0000  0.5000 [1 per cell]  4 N 2.02
N  0.0000  0.5000  0.5000 [2 per cell]  2 Mo 2.02

Properties
electronic total energy	-32.07	eV for the cell shown
E_form (uncorrected)	0.708	eV/atom
total magnetization	0.05	μB/f.u.

=====

Entry from the Alexandria database: a geometry-optimized BePPbCl2 structure (PBE).

a b c (Å): 5.8932 5.8932 6.0446
angles (deg): 90.00 90.00 90.00
Closest atoms and distances in Å follow each position.
Space group P4/mmm (No. 123)
Asymmetric unit:
Be  0.0000  0.0000  0.0000 [1 per cell]  4 P 4.17, 8 Cl 4.22
P  0.5000  0.5000  0.0000 [1 per cell]  2 Pb 3.02
Pb  0.5000  0.5000  0.5000 [1 per cell]  4 Cl 2.95, 2 P 3.02
Cl  0.0000  0.5000  0.5000 [2 per cell]  2 Pb 2.95

Properties
electronic total energy	-12.89	eV for the cell shown
E_form (uncorrected)	0.730	eV/atom
total magnetization	2.00	μB/f.u.

=====

Entry from the Alexandria database: a geometry-optimized NdBePd3 structure (PBE).

a b c (Å): 6.0827 6.0827 10.7194
angles (deg): 90.00 90.00 120.00
Closest atoms and distances in Å follow each position.
Space group P6_3/mmc (No. 194)
Asymmetric unit:
Nd  0.0000  0.0000  0.0000 [2 per cell]  12 Pd 3.04-3.13
Nd  0.3333  0.6667  0.2500 [2 per cell]  12 Pd 3.04-3.20
Be  0.3333  0.6667  0.6372 [4 per cell]  6 Pd 2.25-2.29, 1 Be 2.42
Pd  0.0000  0.5000  0.0000 [6 per cell]  2 Be 2.29
Pd  0.1528  0.3057  0.7500 [6 per cell]  2 Be 2.25

Properties
electronic total energy	-110.25	eV for the cell shown
total magnetization	0.00	μB/f.u.

=====

Entry from the Alexandria database: a geometry-optimized FeHgSb2 structure (PBE).

a b c (Å): 6.6498 3.2848 8.6514
angles (deg): 90.00 93.47 90.00
Closest atoms and distances in Å follow each position.
Space group C2/m (No. 12)
Asymmetric unit:
Fe  0.0000  0.0000  0.0000 [2 per cell]  6 Sb 2.61-2.67
Hg  0.0000  0.5000  0.5000 [2 per cell]  2 Sb 3.06, 2 Hg 3.28
Sb  0.1965  0.5000  0.1891 [4 per cell]  3 Fe 2.61-2.67

Properties
electronic total energy	-32.97	eV for the cell shown
E_form (uncorrected)	0.131	eV/atom
total magnetization	1.82	μB/f.u.

=====

Entry from the Alexandria database: a geometry-optimized Zr2InNi structure (PBE).

a b c (Å): 6.8151 6.8151 6.8151
angles (deg): 90.00 90.00 90.00
Closest atoms and distances in Å follow each position.
Space group F-43m (No. 216)
Asymmetric unit:
Zr  0.0000  0.0000  0.0000 [4 per cell]  4 Zr 2.95, 4 Ni 2.95
Zr  0.2500  0.2500  0.2500 [4 per cell]  4 Zr 2.95, 4 In 2.95
In  0.0000  0.0000  0.5000 [4 per cell]  4 Zr 2.95, 4 Ni 2.95
Ni  0.2500  0.2500  0.7500 [4 per cell]  4 Zr 2.95, 4 In 2.95

Properties
electronic total energy	-101.28	eV for the cell shown
total magnetization	2.99	μB/f.u.

=====

Entry from the Alexandria database: a geometry-optimized BaPuHg4 structure (PBE).

a b c (Å): 8.8153 8.8153 8.8153
angles (deg): 90.00 90.00 90.00
Closest atoms and distances in Å follow each position.
Space group F-43m (No. 216)
Asymmetric unit:
Ba  0.0000  0.0000  0.0000 [4 per cell]  12 Hg 3.66, 4 Pu 3.82
Pu  0.2500  0.2500  0.7500 [4 per cell]  12 Hg 3.65, 4 Ba 3.82
Hg  0.1247  0.1247  0.3753 [16 per cell]  6 Hg 3.11-3.12

Properties
electronic total energy	-73.08	eV for the cell shown
total magnetization	6.54	μB/f.u.

=====

Entry from the Alexandria database: a geometry-optimized Ag2AsO3 structure (PBE).

a b c (Å): 12.3407 5.4626 5.3286
angles (deg): 90.00 98.77 90.00
Closest atoms and distances in Å follow each position.
Space group C2/c (No. 15)
Asymmetric unit:
Ag  0.1887  0.0997  0.2898 [8 per cell]  2 O 2.45-2.52
As  0.0000  0.3929  0.7500 [4 per cell]  3 O 1.68-1.82
O  0.0000  0.0847  0.7500 [4 per cell]  1 As 1.68
O  0.0966  0.4560  0.0747 [8 per cell]  2 As 1.82-1.98

Properties
electronic total energy	-113.14	eV for the cell shown
E_form (uncorrected)	-0.510	eV/atom
total magnetization	0.00	μB/f.u.